(1)
Below is a relaxed structure of ScHSe2, with properties calculated at the PBE level.

Results
* E: -4.672 eV/atom
* N(E_F): 0.00 states/eV/cell
* space-group type: I-42d (122)

a b c (Å): 5.688 5.688 6.634
angles (deg): 64.62 64.62 90.00
Fractional coordinates of all 8 atoms:
Sc: 0.750 0.250 0.500
Sc: 0.000 0.000 0.000
H: 0.250 0.750 0.500
H: 0.500 0.500 0.000
Se: 0.875 0.824 0.750
Se: 0.176 0.625 0.250
Se: 0.574 0.125 0.250
Se: 0.375 0.426 0.750

***

(2)
Below is a relaxed structure of ScHSe2, with properties calculated at the PBE level.

Results
* E: -5.033 eV/atom
* N(E_F): 0.00 states/eV/cell
* space-group type: Cmcm (63)

a b c (Å): 11.977 11.977 3.627
angles (deg): 90.00 90.00 162.17
Fractional coordinates of all 8 atoms:
Se: 0.205 0.795 0.250
Se: 0.918 0.082 0.250
Se: 0.082 0.918 0.750
Se: 0.795 0.205 0.750
Sc: 0.669 0.331 0.750
Sc: 0.331 0.669 0.250
H: 0.066 0.934 0.250
H: 0.934 0.066 0.750

***

(3)
Below is a relaxed structure of Sc5H2Se5, with properties calculated at the PBE level.

Results
* E: -5.921 eV/atom
* N(E_F): 5.18 states/eV/cell
* space-group type: C2/m (12)

a b c (Å): 3.626 6.852 11.343
angles (deg): 124.75 90.00 105.34
Last column: magnetic moment on the atom in μB.
Fractional coordinates of all 12 atoms:
H: 0.096 0.192 0.746  0.00
H: 0.904 0.808 0.254  0.00
Se: 0.358 0.716 0.010  0.00
Se: 0.500 0.000 0.500  0.00
Se: 0.317 0.634 0.691  0.00
Se: 0.642 0.284 0.990  0.00
Se: 0.683 0.366 0.309  0.00
Sc: 0.695 0.390 0.788  0.02
Sc: 0.094 0.188 0.414  0.00
Sc: 0.000 0.000 0.000  0.08
Sc: 0.906 0.812 0.586  0.00
Sc: 0.305 0.610 0.212  0.02

***

(4)
Below is a relaxed structure of ScHSe2, with properties calculated at the PBE level.

Results
* E: -5.146 eV/atom
* N(E_F): 0.00 states/eV/cell
* space-group type: P1 (1)

a b c (Å): 3.901 6.410 7.115
angles (deg): 110.21 100.50 85.83
Fractional coordinates of all 8 atoms:
Se: 0.961 0.067 0.474
Se: 0.621 0.168 0.960
Se: 0.726 0.715 0.225
Se: 0.109 0.632 0.741
H: 0.240 0.334 0.346
H: 0.338 0.339 0.263
Sc: 0.187 0.970 0.099
Sc: 0.543 0.838 0.621

***

(5)
Below is a relaxed structure of ScHSe2, with properties calculated at the PBE level.

Results
* E: -3.741 eV/atom
* N(E_F): 4.48 states/eV/cell
* space-group type: R-3m (166)

a b c (Å): 8.278 8.278 8.278
angles (deg): 22.53 22.53 22.53
Fractional coordinates of all 4 atoms:
H: 0.500 0.500 0.500
Sc: 0.000 0.000 0.000
Se: 0.892 0.892 0.892
Se: 0.108 0.108 0.108

***

(6)
Below is a relaxed structure of ScHSe2, with properties calculated at the PBE level.

Results
* E: -4.912 eV/atom
* N(E_F): 0.00 states/eV/cell
* space-group type: P2_1/c (14)

a b c (Å): 18.824 3.630 8.132
angles (deg): 90.00 146.85 90.00
Fractional coordinates of all 16 atoms:
Se: 0.895 0.357 0.319
Se: 0.069 0.159 0.234
Se: 0.105 0.643 0.681
Se: 0.569 0.341 0.734
Se: 0.431 0.659 0.266
Se: 0.931 0.841 0.766
Se: 0.605 0.857 0.181
Se: 0.395 0.143 0.819
H: 0.800 0.260 0.797
H: 0.700 0.760 0.703
H: 0.300 0.240 0.297
H: 0.200 0.740 0.203
Sc: 0.106 0.256 0.958
Sc: 0.894 0.744 0.042
Sc: 0.394 0.756 0.542
Sc: 0.606 0.244 0.458

***

(7)
Below is a relaxed structure of ScHSe2, with properties calculated at the PBE level.

Results
* E: -4.912 eV/atom
* N(E_F): 0.00 states/eV/cell
* space-group type: R3m (160)

a b c (Å): 5.041 5.041 5.041
angles (deg): 56.29 56.29 56.29
Fractional coordinates of all 4 atoms:
Se: 0.135 0.135 0.135
Se: 0.652 0.652 0.652
H: 0.018 0.018 0.018
Sc: 0.446 0.446 0.446

***

(8)
Below is a relaxed structure of ScHSe2, with properties calculated at the PBE level.

Results
* E: -5.139 eV/atom
* space-group type: Cc (9)

a b c (Å): 12.900 5.447 5.447
angles (deg): 90.30 129.27 50.73
Fractional coordinates of all 8 atoms:
Se: 0.789 0.845 0.406
Se: 0.240 0.673 0.073
Se: 0.740 0.427 0.827
Se: 0.289 0.094 0.655
H: 0.252 0.649 0.817
H: 0.752 0.683 0.851
Sc: 0.737 0.403 0.323
Sc: 0.237 0.177 0.097

***

(9)
Below is a relaxed structure of ScHSe2, with properties calculated at the PBE level.

Results
* E: -5.140 eV/atom
* N(E_F): 0.00 states/eV/cell
* space-group type: P1 (1)

a b c (Å): 7.080 3.799 7.289
angles (deg): 69.45 78.10 79.30
Fractional coordinates of all 8 atoms:
Se: 0.987 0.913 0.000
Se: 0.496 0.487 0.461
Se: 0.495 0.551 0.907
Se: 0.989 0.624 0.552
H: 0.997 0.492 0.094
H: 0.491 0.488 0.253
Sc: 0.239 0.953 0.657
Sc: 0.735 0.072 0.741

***

(10)
Below is a relaxed structure of ScHSe2, with properties calculated at the PBE level.

Results
* E: -5.226 eV/atom
* space-group type: Pc (7)

a b c (Å): 3.917 5.366 8.857
angles (deg): 90.00 90.00 90.02
Fractional coordinates of all 8 atoms:
Se: 0.892 0.251 0.004
Se: 0.392 0.785 0.776
Se: 0.392 0.751 0.212
Se: 0.892 0.285 0.440
H: 0.891 0.019 0.485
H: 0.390 0.518 0.731
Sc: 0.892 0.749 0.992
Sc: 0.392 0.249 0.223

***

(11)
Below is a relaxed structure of ScHSe2, with properties calculated at the PBE level.

Results
* E: -5.171 eV/atom
* space-group type: C2/c (15)

a b c (Å): 14.842 7.885 7.885
angles (deg): 61.36 105.45 74.55
Fractional coordinates of all 32 atoms:
Sc: 0.385 0.010 0.333
Sc: 0.387 0.532 0.307
Sc: 0.885 0.167 0.490
Sc: 0.115 0.833 0.510
Sc: 0.113 0.807 0.032
Sc: 0.613 0.468 0.693
Sc: 0.887 0.193 0.968
Sc: 0.615 0.990 0.667
H: 0.837 0.561 0.889
H: 0.824 0.728 0.226
H: 0.176 0.272 0.774
H: 0.676 0.726 0.228
H: 0.324 0.274 0.772
H: 0.163 0.439 0.111
H: 0.663 0.389 0.061
H: 0.337 0.611 0.939
Se: 0.009 0.749 0.743
Se: 0.750 0.653 0.153
Se: 0.501 0.252 0.733
Se: 0.748 0.163 0.163
Se: 0.509 0.757 0.751
Se: 0.499 0.748 0.267
Se: 0.752 0.663 0.663
Se: 0.252 0.837 0.837
Se: 0.248 0.337 0.337
Se: 0.991 0.251 0.257
Se: 0.491 0.243 0.249
Se: 0.250 0.347 0.847
Se: 0.250 0.828 0.328
Se: 0.001 0.767 0.248
Se: 0.750 0.172 0.672
Se: 0.999 0.233 0.752

***

(12)
Below is a relaxed structure of Sc2HSe3, with properties calculated at the PBE level.

Results
* E: -5.589 eV/atom
* N(E_F): 11.00 states/eV/cell
* space-group type: Pnma (62)

a b c (Å): 3.664 11.455 10.234
angles (deg): 90.00 90.00 90.00
Fractional coordinates of all 24 atoms:
H: 0.750 0.626 0.363
H: 0.250 0.126 0.137
H: 0.750 0.874 0.863
H: 0.250 0.374 0.637
Se: 0.750 0.190 0.326
Se: 0.250 0.374 0.076
Se: 0.750 0.626 0.924
Se: 0.750 0.939 0.116
Se: 0.750 0.310 0.826
Se: 0.250 0.061 0.884
Se: 0.250 0.126 0.576
Se: 0.750 0.561 0.616
Se: 0.250 0.439 0.384
Se: 0.250 0.810 0.674
Se: 0.750 0.874 0.424
Se: 0.250 0.690 0.174
Sc: 0.750 0.522 0.198
Sc: 0.250 0.825 0.942
Sc: 0.250 0.022 0.302
Sc: 0.750 0.978 0.698
Sc: 0.250 0.675 0.442
Sc: 0.750 0.325 0.558
Sc: 0.250 0.478 0.802
Sc: 0.750 0.175 0.058

***

Look up the E of the ninth one. -5.140 eV/atom

***

What is the formula in the eleventh record? ScHSe2

***

E of number 9 (ScHSe2)? -5.140 eV/atom